RbTaAl2: relaxed, PBE.

```
RbTaAl2
1.0
-2.7919 2.7919 9.1348
2.7919 -2.7919 9.1348
2.7919 2.7919 -9.1348
Rb Ta Al
2 2 4
direct
0.3750 0.6250 0.7500
0.6250 0.3750 0.2500
0.1250 0.8750 0.2500
0.8750 0.1250 0.7500
0.0000 0.0000 0.0000
0.0000 0.0000 0.5000
0.0000 0.5000 0.0000
0.5000 0.0000 0.5000
```

Its energy above the most stable polymorph in this dataset is 0.0 meV/atom. The symmetry is I4_1/amd, No. 141. Its calculated formation energy is 1.074 eV per atom. As for the electronic total energy: -4.00 eV/atom.